[1]
Below is a geometry-optimized NiTe2Au structure, with properties calculated at the GGA-PBE level.

Output
As for the total magnetization: 0.00 Bohr magnetons per cell. The energy above the most stable polymorph in this dataset is 64 meV/atom.

a b c (Å): 4.0263 4.0263 6.7242
angles (deg): 72.58 72.58 60.00
Last column: nearest neighbours and their distance in Å.
Positions (direct):
Ni 0.6605 0.6605 0.0186  6 Te 2.59-2.72
Te 0.0685 0.0685 0.7946  3 Ni 2.72, 3 Au 3.02
Te 0.2673 0.2673 0.1982  3 Ni 2.59
Au 0.5038 0.5038 0.4887  6 Te 2.96-3.02, 1 Ni 2.97


[2]
Below is a geometry-optimized NiTe2Au structure, with properties calculated at the GGA-PBE level.

Output
As for the total magnetization: 0.00 Bohr magnetons per cell. The energy above the most stable polymorph in this dataset is 481 meV/atom.

a b c (Å): 3.0610 5.2518 5.2518
angles (deg): 90.00 90.00 90.00
Last column: nearest neighbours and their distance in Å.
Positions (direct):
Au 0.5000 0.5000 0.0000  8 Te 3.04, 2 Au 3.06
Ni 0.5000 0.0000 0.5000  8 Te 3.04, 2 Ni 3.06
Te 0.0000 0.0000 0.0000  4 Au 3.04, 4 Ni 3.04, 2 Te 3.06
Te 0.0000 0.5000 0.5000  4 Ni 3.04, 4 Au 3.04, 2 Te 3.06


[3]
Below is a geometry-optimized NiTeAu2 structure, with properties calculated at the GGA-PBE level.

Output
As for the total magnetization: 0.00 Bohr magnetons per cell. For the total energy, the calculation gives -29.2 eV/cell.

a b c (Å): 7.6960 7.6960 6.0520
angles (deg): 50.52 50.52 90.00
Last column: nearest neighbours and their distance in Å.
Positions (direct):
Ni 0.5000 0.5000 0.0000  4 Au 2.64, 2 Te 2.65
Ni 0.2500 0.7500 0.5000  4 Au 2.64, 2 Te 2.65
Te 0.0000 0.0000 0.0000  2 Ni 2.65
Te 0.7500 0.2500 0.5000  2 Ni 2.65
Au 0.5929 0.1250 0.2500  2 Ni 2.64, 2 Au 2.69
Au 0.1571 0.6250 0.2500  2 Ni 2.64, 2 Au 2.69
Au 0.3750 0.4071 0.7500  2 Ni 2.64, 2 Au 2.69
Au 0.8750 0.8429 0.7500  2 Ni 2.64, 2 Au 2.69


[4]
Below is a geometry-optimized NiTe3Au structure, with properties calculated at the GGA-PBE level.

Output
As for the total magnetization: 0.00 Bohr magnetons per cell. The energy above the most stable polymorph in this dataset is 515 meV/atom.

a b c (Å): 5.0139 5.0139 5.0139
angles (deg): 90.00 90.00 90.00
Last column: nearest neighbours and their distance in Å.
Positions (direct):
Ni 0.0000 0.0000 0.0000  6 Te 2.51
Te 0.0000 0.5000 0.0000  2 Ni 2.51
Te 0.0000 0.0000 0.5000  2 Ni 2.51
Te 0.5000 0.0000 0.0000  2 Ni 2.51
Au 0.5000 0.5000 0.5000  12 Te 3.55


no.,DOS(E_F) (states/eV per cell),ρ (g cm⁻³)
1,1.72,9.58
2,2.80,10.05
3,2.98,12.29
4,4.88,8.41